No. 1
FeNiSeBr2 (PBE, optimized geometry); energy above the most stable polymorph in this dataset = 15.60 kJ/mol of atoms; crystal system = tetragonal; space-group type = P4/mmm; electronic total energy = -3.5502 eV per atom
1.0
5.068 0.000 0.000
0.000 5.068 0.000
0.000 0.000 4.396
Fe Ni Se Br
1 1 1 2
Direct
0.000 0.000 0.000
0.500 0.500 0.500
0.000 0.000 0.500
0.000 0.500 0.000
0.500 0.000 0.000

=====

No. 2
Na2Pm2TiO6 (PBE, optimized geometry); crystal system = monoclinic; space-group type = C2/m; electronic total energy = -7.2596 eV per atom
1.0
2.953 -5.068 0.000
2.953 5.068 0.000
-1.424 0.000 5.695
Na Pm Ti O
2 2 1 6
Direct
0.141 0.859 0.000
0.859 0.141 0.000
0.336 0.664 0.500
0.664 0.336 0.500
0.000 0.000 0.500
0.040 0.340 0.690
0.232 0.232 0.305
0.340 0.040 0.690
0.660 0.960 0.310
0.768 0.768 0.695
0.960 0.660 0.310

=====

No. 3
InNiRh3 (PBE, optimized geometry); energy above the most stable polymorph in this dataset = 0.00 kJ/mol of atoms; crystal system = cubic; space-group type = Pm-3m; electronic total energy = -5.3575 eV per atom
1.0
4.504 0.000 0.000
0.000 4.504 0.000
0.000 0.000 4.504
In Ni Rh
1 1 3
Direct
0.000 0.000 0.000
0.500 0.500 0.500
0.000 0.500 0.500
0.500 0.000 0.500
0.500 0.500 0.000

=====

No. 4
Sc5In2Bi2 (PBE, optimized geometry); crystal system = orthorhombic; space-group type = Cmce; electronic total energy = -5.5231 eV per atom
1.0
7.464 -3.889 0.000
7.464 3.889 0.000
0.000 0.000 7.770
Sc In Bi
10 4 4
Direct
0.000 0.000 0.000
0.035 0.701 0.666
0.201 0.535 0.166
0.299 0.965 0.666
0.465 0.799 0.166
0.500 0.500 0.500
0.535 0.201 0.834
0.701 0.035 0.334
0.799 0.465 0.834
0.965 0.299 0.334
0.134 0.866 0.367
0.366 0.634 0.867
0.634 0.366 0.133
0.866 0.134 0.633
0.206 0.206 0.000
0.294 0.294 0.500
0.706 0.706 0.500
0.794 0.794 0.000